Arrangement P

A relaxed SiHI crystal. Source: Alexandria via LeMat-Bulk, functional PBE.

Cell and atoms, written as CIF:
```
data_SiHI
_chemical_formula_sum 'Si1 H1 I1'
_symmetry_space_group_name_H-M 'P 1 m 1'
_symmetry_Int_Tables_number 6
_cell_length_a 4.2251
_cell_length_b 4.0956
_cell_length_c 4.6353
_cell_angle_alpha 90.00
_cell_angle_beta 96.53
_cell_angle_gamma 90.00
loop_
_symmetry_equiv_pos_as_xyz
'x,y,z'
'x,-y,z'
loop_
_atom_site_label
_atom_site_fract_x
_atom_site_fract_y
_atom_site_fract_z
_atom_site_occupancy
Si1 0.0000 0.0000 0.0000 1
H1 0.0653 0.0000 0.3325 1
I1 0.4341 0.5000 0.9401 1
```

Calculated values
V (Å³/cell): 80

Arrangement Q

A relaxed SiHI crystal. Source: Alexandria via LeMat-Bulk, functional PBE.

Cell and atoms, written as CIF:
```
data_SiHI
_chemical_formula_sum 'Si2 H2 I2'
_symmetry_space_group_name_H-M 'P 1'
_symmetry_Int_Tables_number 1
_cell_length_a 5.6013
_cell_length_b 6.0475
_cell_length_c 6.2547
_cell_angle_alpha 73.46
_cell_angle_beta 77.96
_cell_angle_gamma 64.86
loop_
_symmetry_equiv_pos_as_xyz
'x,y,z'
loop_
_atom_site_label
_atom_site_fract_x
_atom_site_fract_y
_atom_site_fract_z
_atom_site_occupancy
Si1 0.0000 0.0000 0.0000 1
Si2 0.2044 0.1947 0.1516 1
H1 0.0345 0.4105 0.2586 1
H2 0.4237 0.0088 0.2877 1
I1 0.5397 0.4194 0.9098 1
I2 0.9177 0.8917 0.4394 1
```

Calculated values
V (Å³/cell): 183

Arrangement R

A relaxed SiHI crystal. Source: Alexandria via LeMat-Bulk, functional PBE.

Cell and atoms, written as CIF:
```
data_SiHI
_chemical_formula_sum 'Si2 H2 I2'
_symmetry_space_group_name_H-M 'P 1'
_symmetry_Int_Tables_number 1
_cell_length_a 5.2341
_cell_length_b 5.8692
_cell_length_c 5.9766
_cell_angle_alpha 98.50
_cell_angle_beta 99.42
_cell_angle_gamma 91.29
loop_
_symmetry_equiv_pos_as_xyz
'x,y,z'
loop_
_atom_site_label
_atom_site_fract_x
_atom_site_fract_y
_atom_site_fract_z
_atom_site_occupancy
Si1 0.0000 0.0000 0.0000 1
Si2 0.3692 0.7855 0.1330 1
H1 0.0436 0.2097 0.8927 1
H2 0.7935 0.8452 0.8437 1
I1 0.2435 0.7131 0.5187 1
I2 0.6909 0.1677 0.2798 1
```

Calculated values
V (Å³/cell): 179

Stability ranking, top entry: arrangement R; the second entry is 1.0 kJ/mol of atoms less favorable.

Arrangement P

A relaxed SiHI crystal. Source: Alexandria via LeMat-Bulk, functional PBE.

Cell and atoms, written as CIF:
```
data_SiHI
_chemical_formula_sum 'Si1 H1 I1'
_symmetry_space_group_name_H-M 'P 1'
_symmetry_Int_Tables_number 1
_cell_length_a 4.0915
_cell_length_b 4.2514
_cell_length_c 4.9505
_cell_angle_alpha 86.75
_cell_angle_beta 65.83
_cell_angle_gamma 89.95
loop_
_symmetry_equiv_pos_as_xyz
'x,y,z'
loop_
_atom_site_label
_atom_site_fract_x
_atom_site_fract_y
_atom_site_fract_z
_atom_site_occupancy
Si1 0.0000 0.0000 0.0000 1
H1 0.8326 0.9992 0.3389 1
I1 0.5251 0.4447 0.9477 1
```

Calculated values
V (Å³/cell): 78

Arrangement Q

A relaxed SiHI crystal. Source: Alexandria via LeMat-Bulk, functional PBE.

Cell and atoms, written as CIF:
```
data_SiHI
_chemical_formula_sum 'Si2 H2 I2'
_symmetry_space_group_name_H-M 'P 1'
_symmetry_Int_Tables_number 1
_cell_length_a 4.0435
_cell_length_b 6.4244
_cell_length_c 7.7358
_cell_angle_alpha 65.49
_cell_angle_beta 75.09
_cell_angle_gamma 89.99
loop_
_symmetry_equiv_pos_as_xyz
'x,y,z'
loop_
_atom_site_label
_atom_site_fract_x
_atom_site_fract_y
_atom_site_fract_z
_atom_site_occupancy
Si1 0.0000 0.0000 0.0000 1
Si2 0.4992 0.8032 0.0017 1
H1 0.4091 0.5801 0.1848 1
H2 0.5876 0.7562 0.8220 1
I1 0.1489 0.3687 0.6967 1
I2 0.8521 0.0712 0.3005 1
```

Calculated values
V (Å³/cell): 175

Stability ranking, top entry: arrangement Q; the second entry is 37.5 kJ/mol of atoms less favorable.

Arrangement P

A relaxed SiHI crystal. Source: Alexandria via LeMat-Bulk, functional PBE.

Cell and atoms, written as CIF:
```
data_SiHI
_chemical_formula_sum 'Si2 H2 I2'
_symmetry_space_group_name_H-M 'P -1'
_symmetry_Int_Tables_number 2
_cell_length_a 4.0472
_cell_length_b 6.4776
_cell_length_c 6.8211
_cell_angle_alpha 87.93
_cell_angle_beta 87.76
_cell_angle_gamma 85.89
loop_
_symmetry_equiv_pos_as_xyz
'x,y,z'
'-x,-y,-z'
loop_
_atom_site_label
_atom_site_fract_x
_atom_site_fract_y
_atom_site_fract_z
_atom_site_occupancy
Si1 0.2426 0.0128 0.0909 1
H1 0.2126 0.2108 0.1987 1
I1 0.2594 0.7210 0.3368 1
```

Calculated values
V (Å³/cell): 178

Arrangement Q

A relaxed SiHI crystal. Source: Alexandria via LeMat-Bulk, functional PBE.

Cell and atoms, written as CIF:
```
data_SiHI
_chemical_formula_sum 'Si2 H2 I2'
_symmetry_space_group_name_H-M 'P 1'
_symmetry_Int_Tables_number 1
_cell_length_a 4.0358
_cell_length_b 6.0242
_cell_length_c 6.9177
_cell_angle_alpha 89.74
_cell_angle_beta 88.19
_cell_angle_gamma 90.00
loop_
_symmetry_equiv_pos_as_xyz
'x,y,z'
loop_
_atom_site_label
_atom_site_fract_x
_atom_site_fract_y
_atom_site_fract_z
_atom_site_occupancy
Si1 0.0000 0.0000 0.0000 1
Si2 0.4283 0.9192 0.7565 1
H1 0.0405 0.1881 0.1388 1
H2 0.6694 0.0928 0.9040 1
I1 0.2321 0.2835 0.5996 1
I2 0.7146 0.6998 0.1918 1
```

Calculated values
V (Å³/cell): 168

Stability ranking, top entry: arrangement P; the second entry is 21.4 kJ/mol of atoms less favorable.

Arrangement P

A relaxed SiH4I crystal. Source: Alexandria via LeMat-Bulk, functional PBE.

Cell and atoms, written as CIF:
```
data_SiH4I
_chemical_formula_sum 'Si4 H16 I4'
_symmetry_space_group_name_H-M 'C 1 2/c 1'
_symmetry_Int_Tables_number 15
_cell_length_a 17.5141
_cell_length_b 4.1883
_cell_length_c 4.8103
_cell_angle_alpha 90.00
_cell_angle_beta 105.88
_cell_angle_gamma 90.00
loop_
_symmetry_equiv_pos_as_xyz
'x,y,z'
'-x,-y,-z'
'-x,y,-z+1/2'
'x,-y,z+1/2'
'x+1/2,y+1/2,z'
'-x+1/2,-y+1/2,-z'
'-x+1/2,y+1/2,-z+1/2'
'x+1/2,-y+1/2,z+1/2'
loop_
_atom_site_label
_atom_site_fract_x
_atom_site_fract_y
_atom_site_fract_z
_atom_site_occupancy
Si1 0.2500 0.2500 0.0000 1
H1 0.1682 0.1056 0.9170 1
H2 0.2194 0.4956 0.2229 1
I1 0.0000 0.2519 0.2500 1
```

Calculated values
V (Å³/cell): 339

Arrangement Q

A relaxed SiH4I crystal. Source: Alexandria via LeMat-Bulk, functional PBE.

Cell and atoms, written as CIF:
```
data_SiH4I
_chemical_formula_sum 'Si1 H4 I1'
_symmetry_space_group_name_H-M 'P 1'
_symmetry_Int_Tables_number 1
_cell_length_a 3.7450
_cell_length_b 4.4666
_cell_length_c 5.9431
_cell_angle_alpha 110.96
_cell_angle_beta 99.71
_cell_angle_gamma 91.41
loop_
_symmetry_equiv_pos_as_xyz
'x,y,z'
loop_
_atom_site_label
_atom_site_fract_x
_atom_site_fract_y
_atom_site_fract_z
_atom_site_occupancy
Si1 0.0000 0.0000 0.0000 1
H1 0.3117 0.2400 0.9893 1
H2 0.3389 0.8825 0.1355 1
H3 0.6994 0.2435 0.9927 1
H4 0.7279 0.8857 0.1376 1
I1 0.8475 0.5846 0.5816 1
```

Calculated values
V (Å³/cell): 91

Stability ranking, top entry: arrangement P; the second entry is 7.6 kJ/mol of atoms less favorable.

Arrangement P

A relaxed SiH3I6 crystal. Source: Alexandria via LeMat-Bulk, functional PBE.

Cell and atoms, written as CIF:
```
data_SiH3I6
_chemical_formula_sum 'Si4 H12 I24'
_symmetry_space_group_name_H-M 'C m c 21'
_symmetry_Int_Tables_number 36
_cell_length_a 12.9962
_cell_length_b 17.1147
_cell_length_c 7.1581
_cell_angle_alpha 90.00
_cell_angle_beta 90.00
_cell_angle_gamma 90.00
loop_
_symmetry_equiv_pos_as_xyz
'x,y,z'
'-x,-y,z+1/2'
'-x,y,z'
'x,-y,z+1/2'
'x+1/2,y+1/2,z'
'-x+1/2,-y+1/2,z+1/2'
'-x+1/2,y+1/2,z'
'x+1/2,-y+1/2,z+1/2'
loop_
_atom_site_label
_atom_site_fract_x
_atom_site_fract_y
_atom_site_fract_z
_atom_site_occupancy
Si1 0.0000 0.2019 0.0000 1
H1 0.0000 0.4882 0.3871 1
H2 0.2116 0.4720 0.7582 1
I1 0.0000 0.0725 0.1522 1
I2 0.0000 0.1816 0.6597 1
I3 0.1429 0.4540 0.5646 1
I4 0.1543 0.2738 0.0950 1
```

Calculated values
V (Å³/cell): 1592

Arrangement Q

A relaxed SiH3I6 crystal. Source: Alexandria via LeMat-Bulk, functional PBE.

Cell and atoms, written as CIF:
```
data_SiH3I6
_chemical_formula_sum 'Si2 H6 I12'
_symmetry_space_group_name_H-M 'P 1 21 1'
_symmetry_Int_Tables_number 4
_cell_length_a 8.3363
_cell_length_b 8.5573
_cell_length_c 12.2939
_cell_angle_alpha 90.00
_cell_angle_beta 105.08
_cell_angle_gamma 90.00
loop_
_symmetry_equiv_pos_as_xyz
'x,y,z'
'-x,y+1/2,-z'
loop_
_atom_site_label
_atom_site_fract_x
_atom_site_fract_y
_atom_site_fract_z
_atom_site_occupancy
Si1 0.1548 0.0000 0.2566 1
H1 0.1759 0.3457 0.6494 1
H2 0.3373 0.0773 0.7846 1
H3 0.3776 0.0425 0.0131 1
I1 0.0976 0.9357 0.0489 1
I2 0.1698 0.5416 0.6425 1
I3 0.1858 0.0567 0.6653 1
I4 0.2841 0.2642 0.2887 1
I5 0.3507 0.8007 0.3664 1
I6 0.4601 0.6053 0.0287 1
```

Calculated values
V (Å³/cell): 847

Stability ranking, top entry: arrangement Q; the second entry is 9.6 kJ/mol of atoms less favorable.

Arrangement P

A relaxed SiTe2HI crystal. Source: Alexandria via LeMat-Bulk, functional PBE.

Cell and atoms, written as CIF:
```
data_SiTe2HI
_chemical_formula_sum 'Si1 Te2 H1 I1'
_symmetry_space_group_name_H-M 'P 4/m m m'
_symmetry_Int_Tables_number 123
_symmetry_space_group_name_Hall '-P 4 2'
_cell_length_a 4.3976
_cell_length_b 4.3976
_cell_length_c 6.5036
_cell_angle_alpha 90.00
_cell_angle_beta 90.00
_cell_angle_gamma 90.00
loop_
_atom_site_label
_atom_site_fract_x
_atom_site_fract_y
_atom_site_fract_z
_atom_site_occupancy
Si1 0.0000 0.0000 0.0000 1
Te1 0.0000 0.5000 0.5000 1
H1 0.5000 0.5000 0.5000 1
I1 0.5000 0.5000 0.0000 1
```

Calculated values
V (Å³/cell): 126

Arrangement Q

A relaxed SiTe2HI crystal. Source: Alexandria via LeMat-Bulk, functional PBE.

Cell and atoms, written as CIF:
```
data_SiTe2HI
_chemical_formula_sum 'Si1 Te2 H1 I1'
_symmetry_space_group_name_H-M 'P 4/m m m'
_symmetry_Int_Tables_number 123
_symmetry_space_group_name_Hall '-P 4 2'
_cell_length_a 5.3147
_cell_length_b 5.3147
_cell_length_c 5.7058
_cell_angle_alpha 90.00
_cell_angle_beta 90.00
_cell_angle_gamma 90.00
loop_
_atom_site_label
_atom_site_fract_x
_atom_site_fract_y
_atom_site_fract_z
_atom_site_occupancy
Si1 0.0000 0.0000 0.0000 1
Te1 0.0000 0.5000 0.0000 1
H1 0.5000 0.5000 0.5000 1
I1 0.0000 0.0000 0.5000 1
```

Calculated values
V (Å³/cell): 161

Stability ranking, top entry: arrangement P; the second entry is 13.5 kJ/mol of atoms less favorable.

Arrangement P

A relaxed SnH2I2 crystal. Source: Alexandria via LeMat-Bulk, functional PBE.

Cell and atoms, written as CIF:
```
data_SnH2I2
_chemical_formula_sum 'Sn4 H8 I8'
_symmetry_space_group_name_H-M 'C 1 2/m 1'
_symmetry_Int_Tables_number 12
_cell_length_a 7.7616
_cell_length_b 12.2470
_cell_length_c 7.8669
_cell_angle_alpha 90.00
_cell_angle_beta 111.92
_cell_angle_gamma 90.00
loop_
_symmetry_equiv_pos_as_xyz
'x,y,z'
'-x,-y,-z'
'-x,y,-z'
'x,-y,z'
'x+1/2,y+1/2,z'
'-x+1/2,-y+1/2,-z'
'-x+1/2,y+1/2,-z'
'x+1/2,-y+1/2,z'
loop_
_atom_site_label
_atom_site_fract_x
_atom_site_fract_y
_atom_site_fract_z
_atom_site_occupancy
Sn1 0.0000 0.1647 0.0000 1
H1 0.1129 0.5000 0.7307 1
H2 0.1645 0.5000 0.6664 1
I1 0.2479 0.1777 0.7541 1
```

Calculated values
V (Å³/cell): 694

Arrangement Q

A relaxed SnH2I2 crystal. Source: Alexandria via LeMat-Bulk, functional PBE.

Cell and atoms, written as CIF:
```
data_SnH2I2
_chemical_formula_sum 'Sn2 H4 I4'
_symmetry_space_group_name_H-M 'P -1'
_symmetry_Int_Tables_number 2
_cell_length_a 4.8020
_cell_length_b 8.0740
_cell_length_c 9.1136
_cell_angle_alpha 104.98
_cell_angle_beta 104.45
_cell_angle_gamma 107.11
loop_
_symmetry_equiv_pos_as_xyz
'x,y,z'
'-x,-y,-z'
loop_
_atom_site_label
_atom_site_fract_x
_atom_site_fract_y
_atom_site_fract_z
_atom_site_occupancy
Sn1 0.2142 0.4120 0.2366 1
H1 0.0702 0.6543 0.9473 1
H2 0.1614 0.4770 0.4187 1
I1 0.2921 0.2921 0.7411 1
I2 0.4122 0.1250 0.2318 1
```

Calculated values
V (Å³/cell): 305

Stability ranking, top entry: arrangement P; the second entry is 18.9 kJ/mol of atoms less favorable.

Arrangement P

A relaxed SnHI3 crystal. Source: Alexandria via LeMat-Bulk, functional PBE.

Cell and atoms, written as CIF:
```
data_SnHI3
_chemical_formula_sum 'Sn2 H2 I6'
_symmetry_space_group_name_H-M 'P 1'
_symmetry_Int_Tables_number 1
_cell_length_a 6.3761
_cell_length_b 7.7650
_cell_length_c 9.2849
_cell_angle_alpha 103.68
_cell_angle_beta 92.26
_cell_angle_gamma 111.44
loop_
_symmetry_equiv_pos_as_xyz
'x,y,z'
loop_
_atom_site_label
_atom_site_fract_x
_atom_site_fract_y
_atom_site_fract_z
_atom_site_occupancy
Sn1 0.0000 0.0000 0.0000 1
Sn2 0.3297 0.6332 0.1385 1
H1 0.3743 0.1181 0.4017 1
H2 0.9539 0.5144 0.7367 1
I1 0.1601 0.3390 0.8357 1
I2 0.1692 0.2940 0.3027 1
I3 0.4797 0.9699 0.9771 1
I4 0.4923 0.9941 0.4778 1
I5 0.8357 0.6384 0.6607 1
I6 0.8498 0.6631 0.1614 1
```

Calculated values
V (Å³/cell): 412

Arrangement Q

A relaxed SnHI3 crystal. Source: Alexandria via LeMat-Bulk, functional PBE.

Cell and atoms, written as CIF:
```
data_SnHI3
_chemical_formula_sum 'Sn1 H1 I3'
_symmetry_space_group_name_H-M 'P m -3 m'
_symmetry_Int_Tables_number 221
_symmetry_space_group_name_Hall '-P 4 2 3'
_cell_length_a 6.0071
_cell_length_b 6.0071
_cell_length_c 6.0071
_cell_angle_alpha 90.00
_cell_angle_beta 90.00
_cell_angle_gamma 90.00
loop_
_atom_site_label
_atom_site_fract_x
_atom_site_fract_y
_atom_site_fract_z
_atom_site_occupancy
Sn1 0.0000 0.0000 0.0000 1
H1 0.5000 0.5000 0.5000 1
I1 0.0000 0.0000 0.5000 1
```

Calculated values
V (Å³/cell): 217

Stability ranking, top entry: arrangement P; the second entry is 52.4 kJ/mol of atoms less favorable.